1.
This record from the Alexandria database describes an optimized crystal structure of Tm6SnBi5. The functional is GGA-PBE.

a = 7.643 Å, b = 7.643 Å, c = 7.681 Å
α = 99.53°, β = 99.53°, γ = 120.01°
Sites, in units of the cell vectors:
Tm1 0.082 0.409 0.745
Tm2 0.244 0.244 0.252
Tm3 0.409 0.082 0.745
Tm4 0.591 0.918 0.255
Tm5 0.756 0.756 0.748
Tm6 0.918 0.591 0.255
Sn1 0.000 0.000 0.500
Bi1 0.170 0.830 0.000
Bi2 0.334 0.666 0.500
Bi3 0.500 0.500 0.000
Bi4 0.666 0.334 0.500
Bi5 0.830 0.170 0.000

Summary:
Density ... 9.86 g/cm3
E ... -4.9170 eV per atom
E_form ... -8.77 eV per formula unit
Total moment ... 0.00 μB per cell

***

2.
This record from the Alexandria database describes an optimized crystal structure of Mg2C. The functional is GGA-PBE.

a = 5.896 Å, b = 5.738 Å, c = 2.925 Å
α = 78.45°, β = 72.46°, γ = 29.08°
Sites, in units of the cell vectors:
Mg1 0.123 0.123 0.877
Mg2 0.877 0.877 0.123
C1 0.500 0.500 0.500

Summary:
Density ... 2.22 g/cm3
E ... -3.3676 eV per atom
E_form ... 2.31 eV per formula unit
Total moment ... 0.00 μB per cell

***

3.
This record from the Alexandria database describes an optimized crystal structure of Na2AcInSn2. The functional is GGA-PBE.

a = 4.805 Å, b = 9.502 Å, c = 8.255 Å
α = 90.00°, β = 90.00°, γ = 90.00°
Sites, in units of the cell vectors:
Na1 0.000 0.076 0.000
Na2 0.000 0.924 0.500
Na3 0.500 0.164 0.320
Na4 0.500 0.836 0.820
Ac1 0.500 0.438 0.950
Ac2 0.500 0.562 0.450
In1 0.000 0.316 0.613
In2 0.000 0.684 0.113
Sn1 0.000 0.374 0.238
Sn2 0.000 0.626 0.738
Sn3 0.500 0.154 0.706
Sn4 0.500 0.846 0.206

Summary:
Density ... 5.51 g/cm3
E ... -3.3028 eV per atom
E_form ... -2.33 eV per formula unit
Total moment ... 0.00 μB per cell

***

4.
This record from the Alexandria database describes an optimized crystal structure of FeTc2Ni. The functional is GGA-PBE.

a = 2.588 Å, b = 2.588 Å, c = 7.559 Å
α = 90.00°, β = 90.00°, γ = 90.00°
Sites, in units of the cell vectors:
Fe1 0.000 0.000 0.000
Tc1 0.500 0.500 0.245
Tc2 0.500 0.500 0.755
Ni1 0.000 0.000 0.500

Summary:
Density ... 10.18 g/cm3
E ... -8.6838 eV per atom
E_form ... 0.24 eV per formula unit
Total moment ... 0.98 μB per cell

***

5.
This record from the Alexandria database describes an optimized crystal structure of Th4Cu2Sn. The functional is GGA-PBE.

a = 11.677 Å, b = 11.677 Å, c = 11.677 Å
α = 22.18°, β = 22.18°, γ = 22.18°
Sites, in units of the cell vectors:
Th1 0.112 0.112 0.112
Th2 0.302 0.302 0.302
Th3 0.698 0.698 0.698
Th4 0.888 0.888 0.888
Cu1 0.403 0.403 0.403
Cu2 0.597 0.597 0.597
Sn1 0.500 0.500 0.500

Summary:
Density ... 9.79 g/cm3
E ... -5.9598 eV per atom
E_form ... 0.16 eV per formula unit
Total moment ... 0.00 μB per cell

***

6.
This record from the Alexandria database describes an optimized crystal structure of ZrVNi. The functional is GGA-PBE.

a = 3.141 Å, b = 4.968 Å, c = 6.549 Å
α = 80.19°, β = 76.51°, γ = 74.92°
Sites, in units of the cell vectors:
Zr1 0.053 0.185 0.184
Zr2 0.947 0.815 0.816
V1 0.336 0.278 0.552
V2 0.664 0.722 0.448
Ni1 0.363 0.633 0.165
Ni2 0.637 0.367 0.835

Summary:
Density ... 7.00 g/cm3
E ... -7.9432 eV per atom
E_form ... -0.38 eV per formula unit
Total moment ... 0.00 μB per cell

***

7.
This record from the Alexandria database describes an optimized crystal structure of Tm2ThSc. The functional is GGA-PBE.

a = 5.929 Å, b = 5.929 Å, c = 3.495 Å
α = 90.00°, β = 90.00°, γ = 109.37°
Sites, in units of the cell vectors:
Tm1 0.000 0.500 0.000
Tm2 0.500 0.000 0.000
Th1 0.000 0.000 0.500
Sc1 0.500 0.500 0.500

Summary:
Density ... 8.81 g/cm3
E ... -5.6390 eV per atom
E_form ... 0.14 eV per formula unit
Total moment ... 0.00 μB per cell

***

8.
This record from the Alexandria database describes an optimized crystal structure of CrRe3. The functional is GGA-PBE.

a = 5.104 Å, b = 5.104 Å, c = 5.104 Å
α = 146.63°, β = 63.35°, γ = 127.84°
Sites, in units of the cell vectors:
Cr1 0.000 0.000 0.000
Re1 0.139 0.409 0.730
Re2 0.486 0.986 0.500
Re3 0.679 0.409 0.270

Summary:
Density ... 17.75 g/cm3
E ... -11.6387 eV per atom
E_form ... 0.41 eV per formula unit
Total moment ... 0.00 μB per cell